(1)
Entry from OQMD via LeMat-Bulk: ZrBeNO after structural relaxation (GGA-PBE).

Summary:
Electronic total energy: -64.1 eV/cell
Spin magnetization: 0.853 μB/cell
Distance to the lowest polymorph of the same formula: 437.7 meV/atom

POSCAR file:
```
ZrBeNO
1.0
3.268 0.000 0.000
0.000 5.844 0.000
0.000 0.000 4.616
Zr Be N O
2 2 2 2
direct
0.000 0.171 0.000
0.000 0.829 0.500
0.500 0.366 0.572
0.500 0.634 0.072
0.500 0.374 0.937
0.500 0.626 0.437
0.000 0.220 0.491
0.000 0.780 0.991
```

***

(2)
Entry from OQMD via LeMat-Bulk: ZrBeNO after structural relaxation (GGA-PBE).

Summary:
Electronic total energy: -65.6 eV/cell
Spin magnetization: 0.004 μB/cell
Distance to the lowest polymorph of the same formula: 254.3 meV/atom

POSCAR file:
```
ZrBeNO
1.0
2.211 -2.215 0.000
2.211 2.215 0.000
0.000 0.000 8.330
Zr Be N O
2 2 2 2
direct
0.250 0.750 0.843
0.750 0.250 0.157
0.250 0.250 0.500
0.750 0.750 0.500
0.250 0.750 0.595
0.750 0.250 0.405
0.250 0.750 0.143
0.750 0.250 0.857
```

***

(3)
Entry from OQMD via LeMat-Bulk: PmBeN after structural relaxation (GGA-PBE).

Summary:
Electronic total energy: -39.6 eV/cell
Spin magnetization: 0.003 μB/cell

POSCAR file:
```
PmBeN
1.0
3.596 0.000 0.000
0.000 3.677 0.000
-1.798 0.000 6.701
Pm Be N
2 2 2
direct
0.155 0.250 0.311
0.845 0.750 0.689
0.452 0.250 0.904
0.548 0.750 0.096
0.334 0.250 0.668
0.666 0.750 0.332
```

***

(4)
Entry from OQMD via LeMat-Bulk: PrBeN after structural relaxation (GGA-PBE).

Summary:
Electronic total energy: -39.2 eV/cell
Spin magnetization: 0.002 μB/cell

POSCAR file:
```
PrBeN
1.0
1.842 -6.767 0.000
1.842 6.767 0.000
0.000 0.000 3.746
Pr Be N
2 2 2
direct
0.155 0.845 0.750
0.845 0.155 0.250
0.451 0.549 0.750
0.549 0.451 0.250
0.335 0.665 0.750
0.665 0.335 0.250
```

***

(5)
Entry from OQMD via LeMat-Bulk: NaBeNb after structural relaxation (GGA-PBE).

Summary:
Electronic total energy: -11.4 eV/cell
Spin magnetization: 0.002 μB/cell
Distance to the lowest polymorph of the same formula: 0.0 meV/atom

POSCAR file:
```
NaBeNb
1.0
0.000 2.991 2.991
2.991 0.000 2.991
2.991 2.991 0.000
Na Be Nb
1 1 1
direct
0.000 0.000 0.000
0.250 0.250 0.250
0.500 0.500 0.500
```

***

(6)
Entry from OQMD via LeMat-Bulk: NaBeNbNi after structural relaxation (GGA-PBE).

Summary:
Electronic total energy: -18.6 eV/cell
Spin magnetization: 0.000 μB/cell
Distance to the lowest polymorph of the same formula: 24.8 meV/atom

POSCAR file:
```
NaBeNbNi
1.0
0.000 3.064 3.064
3.064 0.000 3.064
3.064 3.064 0.000
Na Be Nb Ni
1 1 1 1
direct
0.000 0.000 0.000
0.750 0.750 0.750
0.500 0.500 0.500
0.250 0.250 0.250
```

***

(7)
Entry from OQMD via LeMat-Bulk: NaBeNbNi after structural relaxation (GGA-PBE).

Summary:
Electronic total energy: -18.7 eV/cell
Spin magnetization: 0.001 μB/cell
Distance to the lowest polymorph of the same formula: 0.0 meV/atom

POSCAR file:
```
NaBeNbNi
1.0
0.000 3.009 3.009
3.009 0.000 3.009
3.009 3.009 0.000
Na Be Nb Ni
1 1 1 1
direct
0.000 0.000 0.000
0.250 0.250 0.250
0.750 0.750 0.750
0.500 0.500 0.500
```

***

(8)
Entry from OQMD via LeMat-Bulk: NaBeNbPd after structural relaxation (GGA-PBE).

Summary:
Electronic total energy: -18.8 eV/cell
Spin magnetization: 0.000 μB/cell
Distance to the lowest polymorph of the same formula: 40.0 meV/atom

POSCAR file:
```
NaBeNbPd
1.0
0.000 3.154 3.154
3.154 0.000 3.154
3.154 3.154 0.000
Na Be Nb Pd
1 1 1 1
direct
0.000 0.000 0.000
0.250 0.250 0.250
0.500 0.500 0.500
0.750 0.750 0.750
```

***

(9)
Entry from OQMD via LeMat-Bulk: NaBeNbPd after structural relaxation (GGA-PBE).

Summary:
Electronic total energy: -19.0 eV/cell
Spin magnetization: 0.001 μB/cell
Distance to the lowest polymorph of the same formula: 0.0 meV/atom

POSCAR file:
```
NaBeNbPd
1.0
0.000 3.109 3.109
3.109 0.000 3.109
3.109 3.109 0.000
Na Be Nb Pd
1 1 1 1
direct
0.000 0.000 0.000
0.750 0.750 0.750
0.250 0.250 0.250
0.500 0.500 0.500
```

***

(10)
Entry from OQMD via LeMat-Bulk: NaBeNbPt after structural relaxation (GGA-PBE).

Summary:
Electronic total energy: -21.0 eV/cell
Spin magnetization: 0.001 μB/cell
Distance to the lowest polymorph of the same formula: 0.0 meV/atom

POSCAR file:
```
NaBeNbPt
1.0
0.000 3.103 3.103
3.103 0.000 3.103
3.103 3.103 0.000
Na Be Nb Pt
1 1 1 1
direct
0.000 0.000 0.000
0.250 0.250 0.250
0.750 0.750 0.750
0.500 0.500 0.500
```

***

(11)
Entry from OQMD via LeMat-Bulk: NaBeNbPt after structural relaxation (GGA-PBE).

Summary:
Electronic total energy: -20.5 eV/cell
Spin magnetization: 0.000 μB/cell
Distance to the lowest polymorph of the same formula: 138.6 meV/atom

POSCAR file:
```
NaBeNbPt
1.0
0.000 3.151 3.151
3.151 0.000 3.151
3.151 3.151 0.000
Na Be Nb Pt
1 1 1 1
direct
0.000 0.000 0.000
0.750 0.750 0.750
0.500 0.500 0.500
0.250 0.250 0.250
```

***

(12)
Entry from OQMD via LeMat-Bulk: NaNpBe after structural relaxation (GGA-PBE).

Summary:
Electronic total energy: -14.2 eV/cell
Spin magnetization: 5.165 μB/cell
Distance to the lowest polymorph of the same formula: 0.0 meV/atom

POSCAR file:
```
NaNpBe
1.0
0.000 3.306 3.306
3.306 0.000 3.306
3.306 3.306 0.000
Na Np Be
1 1 1
direct
0.000 0.000 0.000
0.500 0.500 0.500
0.250 0.250 0.250
```